No. 1
Li2Cu5Si4O14 (meta-GGA SCAN, single point on PBEsol structure); formation energy without anion corrections = -2.054 eV per atom; total magnetic moment = 4.99 μB per formula unit
1.0
-0.202 -2.596 -4.774
6.669 0.850 -3.105
5.440 -4.978 2.475
Si O Cu Li
4 14 5 2
direct
0.197 0.218 0.595
0.497 0.772 0.858
0.503 0.228 0.142
0.803 0.782 0.405
0.588 0.338 0.270
0.036 0.817 0.267
0.794 0.652 0.962
0.714 0.577 0.455
0.206 0.348 0.038
0.896 0.824 0.581
0.300 0.772 0.016
0.536 0.981 0.286
0.964 0.183 0.733
0.700 0.228 0.984
0.104 0.176 0.419
0.412 0.662 0.730
0.464 0.019 0.714
0.286 0.423 0.545
0.000 0.000 0.000
0.917 0.390 0.185
0.083 0.610 0.815
0.671 0.422 0.716
0.329 0.578 0.284
0.238 0.889 0.447
0.762 0.111 0.553

No. 2
LiCu3Si2O6 (meta-GGA SCAN, single point on PBEsol structure); formation energy without anion corrections = -1.978 eV per atom; total magnetic moment = 0.00 μB per formula unit
1.0
4.781 -0.001 -0.001
-2.387 4.142 -0.001
-0.798 -1.381 5.615
Si O Cu Li
2 6 3 1
direct
0.167 0.833 0.000
0.833 0.167 0.000
0.928 0.928 0.171
0.813 0.444 0.830
0.556 0.187 0.170
0.444 0.813 0.830
0.072 0.072 0.829
0.187 0.556 0.170
0.000 0.000 0.500
0.672 0.328 0.500
0.328 0.672 0.500
0.500 0.500 0.000

No. 3
Li10CuSi2O10 (meta-GGA SCAN, single point on PBEsol structure); formation energy without anion corrections = -2.304 eV per atom; total magnetic moment = 0.97 μB per formula unit
1.0
5.090 0.000 -0.014
0.000 6.078 0.000
-2.494 -3.039 14.755
Li O Cu Si
20 20 2 4
direct
0.234 0.863 0.726
0.935 0.673 0.346
0.322 0.731 0.462
0.399 0.557 0.610
0.139 0.633 0.846
0.263 0.505 0.010
0.861 0.367 0.154
0.763 0.076 0.734
0.065 0.327 0.654
0.237 0.924 0.266
0.139 0.213 0.846
0.601 0.443 0.390
0.399 0.052 0.610
0.601 0.948 0.390
0.678 0.269 0.538
0.763 0.657 0.734
0.766 0.137 0.274
0.737 0.495 0.990
0.237 0.343 0.266
0.861 0.787 0.154
0.000 0.753 0.000
0.199 0.788 0.576
0.158 0.601 0.203
0.614 0.413 0.259
0.000 0.247 0.000
0.386 0.587 0.741
0.273 0.273 0.546
0.219 0.968 0.390
0.801 0.212 0.424
0.727 0.727 0.454
0.578 0.552 0.103
0.422 0.448 0.897
0.971 0.903 0.805
0.219 0.421 0.390
0.386 0.154 0.741
0.781 0.579 0.610
0.781 0.032 0.610
0.842 0.399 0.797
0.614 0.846 0.259
0.029 0.097 0.195
0.067 0.038 0.076
0.933 0.962 0.924
0.518 0.399 0.797
0.128 0.220 0.439
0.872 0.780 0.561
0.482 0.601 0.203

No. 4
Li5Cu5Sn2O12 (meta-GGA SCAN, single point on PBEsol structure); formation energy without anion corrections = -1.441 eV per atom; total magnetic moment = 2.00 μB per formula unit
1.0
-5.073 0.523 0.525
1.683 -2.884 -3.890
0.452 -7.470 6.457
O Cu Sn Li
12 5 2 5
direct
0.902 0.417 0.383
0.923 0.737 0.623
0.549 0.726 0.373
0.763 0.579 0.882
0.421 0.237 0.118
0.274 0.451 0.627
0.263 0.077 0.377
0.738 0.917 0.122
0.086 0.581 0.120
0.583 0.098 0.617
0.419 0.914 0.880
0.083 0.262 0.878
0.586 0.414 0.500
0.092 0.908 0.000
0.000 0.495 0.748
0.505 0.000 0.252
0.413 0.587 0.000
0.249 0.751 0.500
0.753 0.247 0.000
0.900 0.100 0.500
0.840 0.678 0.256
0.195 0.357 0.260
0.643 0.805 0.740
0.322 0.160 0.744

No. 5
SrLi2CuO (meta-GGA SCAN, single point on PBEsol structure); formation energy without anion corrections = 1.315 eV per atom; total magnetic moment = 0.92 μB per formula unit
1.0
-5.156 -1.174 0.362
0.187 -2.598 -5.766
1.454 -5.597 2.569
Li Sr Cu O
2 1 1 1
direct
0.000 0.000 0.500
0.000 0.500 0.000
0.000 0.000 0.000
0.500 0.000 0.000
0.500 0.500 0.500

No. 6
LiCuTeO4 (meta-GGA SCAN, single point on PBEsol structure); formation energy without anion corrections = -1.212 eV per atom; total magnetic moment = 0.07 μB per formula unit
1.0
-1.131 -3.070 5.123
5.586 -2.390 -0.199
2.972 6.562 4.589
Te O Li Cu
4 16 4 4
direct
0.500 0.226 0.000
0.226 0.500 0.250
0.774 0.500 0.750
0.500 0.774 0.500
0.732 0.484 0.985
0.516 0.268 0.765
0.732 0.516 0.515
0.516 0.732 0.735
0.978 0.736 0.748
0.484 0.732 0.265
0.484 0.268 0.235
0.978 0.264 0.752
0.268 0.484 0.015
0.022 0.736 0.252
0.736 0.022 0.998
0.022 0.264 0.248
0.264 0.978 0.498
0.736 0.978 0.502
0.264 0.022 0.002
0.268 0.516 0.485
0.000 0.790 0.500
0.790 0.000 0.750
0.000 0.210 0.000
0.210 0.000 0.250
0.246 0.246 0.625
0.754 0.754 0.125
0.246 0.754 0.875
0.754 0.246 0.375

No. 7
Li4V3Cu3Te2O16 (meta-GGA SCAN, single point on PBEsol structure); formation energy without anion corrections = -1.815 eV per atom; total magnetic moment = 2.00 μB per formula unit
1.0
-0.819 4.771 2.999
-5.590 2.386 -0.060
-2.658 -5.448 7.984
O Cu V Li Te
16 3 3 4 2
direct
0.375 0.259 0.394
0.830 0.858 0.402
0.528 0.938 0.645
0.989 0.039 0.192
0.520 0.460 0.195
0.545 0.456 0.658
0.151 0.699 0.905
0.870 0.277 0.404
0.679 0.638 0.876
0.652 0.202 0.901
0.016 0.475 0.199
0.988 0.025 0.709
0.993 0.464 0.656
0.501 0.036 0.168
0.144 0.206 0.900
0.312 0.854 0.399
0.167 0.677 0.280
0.337 0.836 0.788
0.826 0.835 0.788
0.820 0.359 0.758
0.130 0.207 0.298
0.649 0.166 0.271
0.005 0.986 0.521
0.988 0.027 0.000
0.354 0.289 0.594
0.667 0.667 0.102
0.645 0.703 0.499
0.320 0.364 0.989

No. 8
Li2TiCuO4 (meta-GGA SCAN, single point on PBEsol structure); formation energy without anion corrections = -2.275 eV per atom; total magnetic moment = 0.80 μB per formula unit
1.0
3.962 0.000 0.000
0.000 3.962 0.000
-1.981 -1.981 4.439
O Ti Li Cu
4 1 2 1
direct
0.255 0.255 0.511
0.745 0.745 0.489
0.473 0.973 0.945
0.027 0.527 0.055
0.250 0.750 0.500
0.500 0.500 0.000
0.750 0.250 0.500
0.000 0.000 0.000

Copy entry 1 word for word.
Li2Cu5Si4O14 (meta-GGA SCAN, single point on PBEsol structure); formation energy without anion corrections = -2.054 eV per atom; total magnetic moment = 4.99 μB per formula unit
1.0
-0.202 -2.596 -4.774
6.669 0.850 -3.105
5.440 -4.978 2.475
Si O Cu Li
4 14 5 2
direct
0.197 0.218 0.595
0.497 0.772 0.858
0.503 0.228 0.142
0.803 0.782 0.405
0.588 0.338 0.270
0.036 0.817 0.267
0.794 0.652 0.962
0.714 0.577 0.455
0.206 0.348 0.038
0.896 0.824 0.581
0.300 0.772 0.016
0.536 0.981 0.286
0.964 0.183 0.733
0.700 0.228 0.984
0.104 0.176 0.419
0.412 0.662 0.730
0.464 0.019 0.714
0.286 0.423 0.545
0.000 0.000 0.000
0.917 0.390 0.185
0.083 0.610 0.815
0.671 0.422 0.716
0.329 0.578 0.284
0.238 0.889 0.447
0.762 0.111 0.553

- What is the total magnetic moment in the sixth record?
  0.07 μB per formula unit